## Y5Sc3S8 (PBE)

Data for a relaxed structure of Y5Sc3S8.

Summary:
For the formation energy without anion corrections, the calculation gives -1929 meV per atom.

Cell: 7.6766 7.6766 18.8202 Å, 90.00 90.00 120.00°
Space group R-3m (No. 166, hexagonal axes)
Symmetry-distinct sites (fractional):
Y  0.0000  0.0000  0.0000
Y  0.0000  0.0000  0.5000
Y  0.0000  0.5000  0.0000
Sc  0.0000  0.5000  0.5000
S  0.0000  0.0000  0.2442
S  0.0079  0.5039  0.7539

=====

## Dy4Tc3C5 (PBE)

Data for a relaxed structure of Dy4Tc3C5.

Summary:
The calculation puts the formation enthalpy at 0 K at -0.110 eV/atom.

Cell: 11.992 3.841 9.571 Å, 90.00 115.41 90.00°
Space group C2/m (No. 12)
Symmetry-distinct sites (fractional):
Dy  0.112  0.000  0.417
Dy  0.236  0.500  0.165
Tc  0.000  0.000  0.000
Tc  0.050  0.500  0.823
C  0.000  0.500  0.000
C  0.122  0.500  0.673
C  0.204  0.500  0.610

=====

## Cr2GeHIr (PBE)

Data for a relaxed structure of Cr2GeHIr.

Summary:
Its total energy is -7.199 eV per atom.

Cell: 3.880 3.880 3.842 Å, 90.00 90.00 90.00°
Space group P4/mmm (No. 123)
Symmetry-distinct sites (fractional):
Cr  0.000  0.500  0.000
Ge  0.000  0.000  0.500
H  0.500  0.500  0.000
Ir  0.500  0.500  0.500